An optimized crystal structure of KYTe4, computed with PBE-GGA.

Cell lengths 6.5455, 6.5455, 6.5455 Å; angles 60.00, 60.00, 60.00 degrees
Closest atoms and distances in Å follow each position.
Sites, in units of the cell vectors:
K  0.0000  0.0000  0.0000  12 Te 3.84, 4 Y 4.01
Y  0.2500  0.2500  0.2500  12 Te 3.84, 4 K 4.01
Te  0.1267  0.6244  0.6244  6 Te 3.26-3.29
Te  0.6244  0.1267  0.6244  6 Te 3.26-3.29
Te  0.6244  0.6244  0.1267  6 Te 3.26-3.29
Te  0.6244  0.6244  0.6244  6 Te 3.26-3.29

formation energy without anion corrections	-0.075	eV/atom
excess energy over the best structure of this formula in the dataset	0.859	eV per atom

An optimized crystal structure of LaScV2Pd, computed with PBE-GGA.

Cell lengths 4.9247, 4.9247, 4.8445 Å; angles 90.00, 90.00, 90.00 degrees
Closest atoms and distances in Å follow each position.
Sites, in units of the cell vectors:
La  0.0000  0.0000  0.0000  8 V 3.45, 4 Pd 3.48
Sc  0.5000  0.5000  0.5000  2 Pd 2.42, 4 V 2.46
V  0.0000  0.5000  0.5000  2 Sc 2.46
V  0.5000  0.0000  0.5000  2 Sc 2.46
Pd  0.5000  0.5000  0.0000  2 Sc 2.42

E	-31.16	eV per cell

An optimized crystal structure of TbSmPd, computed with PBE-GGA.

Cell lengths 12.8497, 3.5948, 7.2078 Å; angles 90.00, 106.35, 90.00 degrees
Closest atoms and distances in Å follow each position.
Sites, in units of the cell vectors:
Tb  0.1378  0.0000  0.0693  4 Pd 2.99-3.00
Tb  0.3622  0.5000  0.9307  4 Pd 2.99-3.00
Tb  0.6378  0.5000  0.0693  4 Pd 2.99-3.00
Tb  0.8622  0.0000  0.9307  4 Pd 2.99-3.00
Sm  0.1372  0.0000  0.5679  4 Pd 3.11-3.13, 1 Sm 3.38
Sm  0.3628  0.5000  0.4321  4 Pd 3.11-3.13, 1 Sm 3.38
Sm  0.6372  0.5000  0.5679  4 Pd 3.11-3.13, 1 Sm 3.38
Sm  0.8628  0.0000  0.4321  4 Pd 3.11-3.13, 1 Sm 3.38
Pd  0.0009  0.5000  0.2351  4 Tb 2.99-3.00, 4 Sm 3.11-3.13
Pd  0.4991  0.0000  0.7649  4 Tb 2.99-3.00, 4 Sm 3.11-3.13
Pd  0.5009  0.0000  0.2351  4 Tb 2.99-3.00, 4 Sm 3.11-3.13
Pd  0.9991  0.5000  0.7649  4 Tb 2.99-3.00, 4 Sm 3.11-3.13

excess energy over the best structure of this formula in the dataset	0.005	eV per atom

An optimized crystal structure of FeOsPt2, computed with PBE-GGA.

Cell lengths 3.8142, 3.8142, 3.9836 Å; angles 90.00, 90.00, 90.00 degrees
Closest atoms and distances in Å follow each position.
Sites, in units of the cell vectors:
Fe  0.0000  0.0000  0.0000  4 Os 2.70, 8 Pt 2.76
Os  0.5000  0.5000  0.0000  4 Fe 2.70, 8 Pt 2.76
Pt  0.0000  0.5000  0.5000  4 Pt 2.70, 4 Fe 2.76, 4 Os 2.76
Pt  0.5000  0.0000  0.5000  4 Pt 2.70, 4 Fe 2.76, 4 Os 2.76

excess energy over the best structure of this formula in the dataset	0.097	eV per atom